Compound: GdAlZn4
Source: the Alexandria database
Functional: PBE-GGA
Structure: relaxed

## Properties
DFT total energy = -3.947 eV/atom
Fermi-level density of states = 3.467 states/eV/f.u.
Calculated formation energy = -0.13 eV/atom
Space group = F-43m, No. 216
Crystal system = cubic

Structure (POSCAR):
```
GdAlZn4
1.0
0.000 3.788 3.788
3.788 0.000 3.788
3.788 3.788 0.000
Gd Al Zn
1 1 4
direct
0.000 0.000 0.000 Gd
0.250 0.250 0.250 Al
0.125 0.625 0.625 Zn
0.625 0.125 0.625 Zn
0.625 0.625 0.125 Zn
0.625 0.625 0.625 Zn
```